# GaIr3O

A geometry-optimized GaIr3O structure (GGA-PBE, Alexandria).

Summary:
- E_tot: -24.314 eV per cell
- Space group: Pm-3m
- Fermi-level density of states: 1.041 states/eV/atom
- Magnetic moment: 4.825 μB per cell

```
GaIr3O
1.0
-1.749 -3.825 1.856
4.062 -2.096 -0.490
1.254 1.454 4.177
O Ga Ir
1 1 3
Cartesian
1.784 -2.233 2.772
0.000 0.000 0.000
-0.874 -1.912 0.928
2.031 -1.048 -0.245
0.627 0.727 2.088
```



# NaLiAlAs2

A geometry-optimized NaLiAlAs2 structure (GGA-PBE, Alexandria).

Summary:
- Space group: P4/mmm
- Fermi-level density of states: 0.353 states/eV/atom
- DFT formation energy: 162 meV per atom
- Magnetic moment: 0.000 μB per cell

```
NaLiAlAs2
1.0
-3.683 1.587 2.463
2.406 -0.675 4.032
1.700 4.379 -0.281
As Al Na Li
2 1 1 1
Cartesian
0.850 2.190 -0.141
-1.841 0.794 1.232
1.203 -0.337 2.016
0.211 2.646 3.107
0.000 0.000 0.000
```